(1)
Computed, not measured: a relaxed AgSbPbS3 crystal at the GGA-PBE level of DFT.

## Properties
Crystal system   monoclinic
SG   No. 14
Calculated density   5.85 g cm⁻³
Energy above the most stable polymorph in this dataset   0 meV/atom
M_tot   0.000 μB/cell
Formation energy from raw total energies   -292 meV per atom

a = 12.896 Å, b = 6.045 Å, c = 7.758 Å
α = 89.82°, β = 90.00°, γ = 90.00°
Element x y z (fractional)
S 0.725 0.328 0.368
S 0.225 0.672 0.132
S 0.443 0.253 0.349
S 0.557 0.747 0.651
S 0.275 0.672 0.632
S 0.627 0.844 0.145
S 0.127 0.156 0.355
S 0.873 0.844 0.645
S 0.373 0.156 0.855
S 0.775 0.328 0.868
S 0.057 0.253 0.849
S 0.943 0.747 0.151
Pb 0.920 0.260 0.147
Pb 0.080 0.740 0.853
Pb 0.580 0.260 0.647
Pb 0.420 0.740 0.353
Sb 0.906 0.247 0.642
Sb 0.094 0.753 0.358
Sb 0.594 0.247 0.142
Sb 0.406 0.753 0.858
Ag 0.764 0.756 0.380
Ag 0.264 0.244 0.120
Ag 0.236 0.244 0.620
Ag 0.736 0.756 0.880

(2)
Computed, not measured: a relaxed Cs6I4Br crystal at the GGA-PBE level of DFT.

## Properties
Crystal system   trigonal
D(E_F)   4.840 states/eV per cell
SG   No. 167
Calculated density   3.45 g cm⁻³
M_tot   0.000 μB/cell
Formation energy from raw total energies   -1378 meV per atom

a = 11.006 Å, b = 11.006 Å, c = 11.006 Å
α = 89.35°, β = 89.35°, γ = 90.65°
Element x y z (fractional)
Cs 0.809 0.584 0.557
Cs 0.057 0.916 0.309
Cs 0.443 0.809 0.416
Cs 0.191 0.416 0.443
Cs 0.557 0.191 0.584
Cs 0.691 0.057 0.084
Cs 0.309 0.943 0.916
Cs 0.943 0.084 0.691
Cs 0.084 0.309 0.057
Cs 0.584 0.443 0.191
Cs 0.416 0.557 0.809
Cs 0.916 0.691 0.943
I 0.867 0.250 0.367
I 0.367 0.133 0.250
I 0.750 0.367 0.867
I 0.750 0.750 0.250
I 0.633 0.867 0.750
I 0.250 0.250 0.750
I 0.250 0.633 0.133
I 0.133 0.750 0.633
Br 0.500 0.500 0.500
Br 0.000 0.000 0.000

(3)
Computed, not measured: a relaxed Cu3Ag2S2 crystal at the GGA-PBE level of DFT.

## Properties
Crystal system   monoclinic
D(E_F)   3.609 states/eV per cell
SG   No. 14
Calculated density   6.62 g cm⁻³
M_tot   0.000 μB/cell
Formation energy from raw total energies   16 meV per atom

a = 6.072 Å, b = 6.497 Å, c = 6.974 Å
α = 90.00°, β = 120.86°, γ = 90.00°
Element x y z (fractional)
Cu 0.014 0.425 0.334
Cu 0.514 0.075 0.834
Cu 0.000 0.000 0.000
Cu 0.486 0.925 0.166
Cu 0.986 0.575 0.666
Cu 0.500 0.500 0.500
Ag 0.227 0.369 0.069
Ag 0.773 0.631 0.931
Ag 0.727 0.131 0.569
Ag 0.273 0.869 0.431
S 0.845 0.102 0.208
S 0.345 0.398 0.708
S 0.155 0.898 0.792
S 0.655 0.602 0.292

(4)
Computed, not measured: a relaxed Ti4Ga2Mo3 crystal at the GGA-PBE level of DFT.

## Properties
Crystal system   monoclinic
D(E_F)   10.983 states/eV per cell
SG   No. 12
Energy of formation from the pure elements   -171.1 meV/atom
Calculated density   7.12 g cm⁻³
M_tot   0.004 μB/cell

a = 4.422 Å, b = 5.126 Å, c = 8.175 Å
α = 62.87°, β = 90.00°, γ = 64.45°
Element x y z (fractional)
Ga 0.684 0.631 0.240
Ga 0.316 0.369 0.760
Ti 0.019 0.962 0.328
Ti 0.662 0.676 0.887
Ti 0.338 0.324 0.113
Ti 0.981 0.038 0.672
Mo 0.649 0.702 0.552
Mo 0.351 0.298 0.448
Mo 0.000 0.000 0.000

(5)
Computed, not measured: a relaxed Pu2Ga7Au12 crystal at the GGA-PBE level of DFT.

## Properties
Crystal system   trigonal
D(E_F)   32.000 states/eV per cell
SG   No. 147
Energy of formation from the pure elements   -275.6 meV/atom
Calculated density   13.57 g cm⁻³
M_tot   11.349 μB/cell

a = 4.230 Å, b = 10.562 Å, c = 10.562 Å
α = 120.00°, β = 90.00°, γ = 90.00°
Site moments in Bohr magnetons follow the coordinates.
Element x y z (fractional)
Au 0.759 0.552 0.625  0.00
Au 0.223 0.136 0.876  0.00
Au 0.777 0.260 0.136  0.00
Au 0.223 0.740 0.864  0.00
Au 0.759 0.375 0.927  0.00
Au 0.759 0.073 0.448  0.00
Au 0.777 0.876 0.740  0.00
Au 0.777 0.864 0.124  0.00
Au 0.241 0.927 0.552  0.00
Au 0.241 0.625 0.073  0.00
Au 0.241 0.448 0.375  0.00
Au 0.223 0.124 0.260  0.00
Pu 0.759 0.667 0.333  5.39
Pu 0.241 0.333 0.667  5.39
Ga 0.500 0.000 0.000  0.01
Ga 0.272 0.889 0.293  0.00
Ga 0.728 0.293 0.404  0.00
Ga 0.728 0.111 0.707  0.00
Ga 0.728 0.596 0.889  0.00
Ga 0.272 0.404 0.111  0.00
Ga 0.272 0.707 0.596  0.00

(6)
Computed, not measured: a relaxed KNbSe2Br crystal at the GGA-PBE level of DFT.

## Properties
Crystal system   tetragonal
D(E_F)   6.306 states/eV per cell
SG   No. 123
Calculated density   3.54 g cm⁻³
Energy above the most stable polymorph in this dataset   1905 meV/atom
M_tot   0.986 μB/cell
Formation energy from raw total energies   1066 meV per atom

a = 5.597 Å, b = 5.597 Å, c = 5.533 Å
α = 90.00°, β = 90.00°, γ = 90.00°
Site moments in Bohr magnetons follow the coordinates.
Element x y z (fractional)
Br 0.000 0.000 0.500  -0.16
Se 0.000 0.500 0.000  -0.68
Se 0.500 0.000 0.000  -0.68
Nb 0.500 0.500 0.500  2.73
K 0.000 0.000 0.000  -0.05

(7)
Computed, not measured: a relaxed CaMgCu2 crystal at the GGA-PBE level of DFT.

## Properties
Crystal system   orthorhombic
D(E_F)   1.701 states/eV per cell
SG   No. 44
Energy of formation from the pure elements   12.7 meV/atom
Calculated density   4.08 g cm⁻³
M_tot   0.000 μB/cell

a = 5.632 Å, b = 5.632 Å, c = 5.632 Å
α = 144.73°, β = 130.29°, γ = 62.41°
Element x y z (fractional)
Ca 0.234 0.734 0.500
Cu 0.963 0.963 0.000
Cu 0.780 0.280 0.500
Mg 0.524 0.524 0.000

(8)
Computed, not measured: a relaxed CeHo2Ge2Rh5 crystal at the GGA-PBE level of DFT.

## Properties
Crystal system   tetragonal
D(E_F)   7.828 states/eV per cell
SG   No. 127
Energy of formation from the pure elements   -850.6 meV/atom
Calculated density   10.35 g cm⁻³
M_tot   0.000 μB/cell

a = 3.736 Å, b = 9.852 Å, c = 9.852 Å
α = 90.00°, β = 90.00°, γ = 90.00°
Element x y z (fractional)
Ge 0.000 0.874 0.374
Ge 0.000 0.374 0.126
Ge 0.000 0.126 0.626
Ge 0.000 0.626 0.874
Rh 0.500 0.712 0.431
Rh 0.500 0.212 0.069
Rh 0.500 0.069 0.788
Rh 0.500 0.000 0.500
Rh 0.500 0.288 0.569
Rh 0.500 0.788 0.931
Rh 0.500 0.500 0.000
Rh 0.500 0.431 0.288
Rh 0.500 0.569 0.712
Rh 0.500 0.931 0.212
Ce 0.000 0.500 0.500
Ce 0.000 0.000 0.000
Ho 0.000 0.830 0.670
Ho 0.000 0.170 0.330
Ho 0.000 0.330 0.830
Ho 0.000 0.670 0.170

What did the third record say?
Computed, not measured: a relaxed Cu3Ag2S2 crystal at the GGA-PBE level of DFT.

## Properties
Crystal system   monoclinic
D(E_F)   3.609 states/eV per cell
SG   No. 14
Calculated density   6.62 g cm⁻³
M_tot   0.000 μB/cell
Formation energy from raw total energies   16 meV per atom

a = 6.072 Å, b = 6.497 Å, c = 6.974 Å
α = 90.00°, β = 120.86°, γ = 90.00°
Element x y z (fractional)
Cu 0.014 0.425 0.334
Cu 0.514 0.075 0.834
Cu 0.000 0.000 0.000
Cu 0.486 0.925 0.166
Cu 0.986 0.575 0.666
Cu 0.500 0.500 0.500
Ag 0.227 0.369 0.069
Ag 0.773 0.631 0.931
Ag 0.727 0.131 0.569
Ag 0.273 0.869 0.431
S 0.845 0.102 0.208
S 0.345 0.398 0.708
S 0.155 0.898 0.792
S 0.655 0.602 0.292